DyLuSnRu: optimized geometry, PBE.

Lattice parameters (Å, degrees): 5.019 5.019 5.019 60.00 60.00 60.00
Element x y z (fractional)
Ru 0.500 0.500 0.500
Lu 0.750 0.750 0.750
Sn 0.000 0.000 0.000
Dy 0.250 0.250 0.250

Output
As for the space group: F-43m. Its size of the total moment is 0.000 μB per atom. The value obtained for the formation energy is -0.430 eV per atom. The crystal system is cubic.